4
Lattice="-1.426 2.477 -1.721 2.510 -2.117 -5.127 -5.099 -3.424 2.532" Properties=species:S:1:pos:R:3 comment="GGA-PBEsol KLiSc2, optimized geometry" total_magnetization_mub_per_atom=0.352 space_group="Imm2, No. 44" delta_e_f_ev_per_atom=0.589 pbc="T T T"
K -4.385 -3.121 -0.858
Li -2.861 -0.291 -1.281
Sc -0.082 -0.058 -0.016
Sc -1.244 -2.837 -3.053

***

4
Lattice="3.582 0.000 0.000 0.000 3.582 0.000 0.000 0.000 9.043" Properties=species:S:1:pos:R:3 comment="GGA-PBEsol KLi2Sc, optimized geometry" total_magnetization_mub_per_atom=0.060 space_group="P4/mmm, No. 123" delta_e_f_ev_per_atom=0.297 pbc="T T T"
K 1.791 1.791 4.522
Li 0.000 0.000 7.269
Li 0.000 0.000 1.774
Sc 1.791 1.791 0.000

***

| no. | E above lowest polymorph (eV per atom) | energy (eV per cell) |
| --- | --- | --- |
| 1 | 0.094 | -13.95 |
| 2 | 0.000 | -10.49 |